(1)
Crystalline Er3Sc4Tl4 at its relaxed geometry. Source: the Alexandria database, functional PBE.

Results
* energy of formation: -183 kJ/mol of formula units
* total magnetic moment: 0.16 μB per atom
* density of states at the Fermi level: 9.350 states/eV/f.u.

Cell lengths 4.534, 8.173, 15.898 Å; angles 90.00, 90.00, 90.00 degrees
Space group Immm (No. 71)
One atom of each set of equivalent atoms:
Er 0.000 0.000 0.000 (multiplicity 2)
Er 0.000 0.500 0.118 (multiplicity 4)
Sc 0.000 0.301 0.327 (multiplicity 8)
Tl 0.000 0.000 0.223 (multiplicity 4)
Tl 0.000 0.196 0.500 (multiplicity 4)


(2)
Crystalline Er4ScTl at its relaxed geometry. Source: the Alexandria database, functional PBE.

Results
* energy of formation: -51 kJ/mol of formula units
* total magnetic moment: 0.00 μB per atom
* density of states at the Fermi level: 6.647 states/eV/f.u.

Cell lengths 3.523, 3.523, 13.764 Å; angles 90.00, 90.00, 90.00 degrees
Space group P4/mmm (No. 123)
One atom of each set of equivalent atoms:
Er 0.000 0.000 0.156 (multiplicity 2)
Er 0.500 0.500 0.335 (multiplicity 2)
Sc 0.000 0.000 0.500 (multiplicity 1)
Tl 0.500 0.500 0.000 (multiplicity 1)


(3)
Crystalline Er3ScTl4 at its relaxed geometry. Source: the Alexandria database, functional PBE.

Results
* relative energy among the computed polymorphs: 0 meV/atom
* energy of formation: -231 kJ/mol of formula units
* total magnetic moment: 0.00 μB per atom
* density of states at the Fermi level: 5.214 states/eV/f.u.

Cell lengths 3.674, 3.674, 15.318 Å; angles 90.00, 90.00, 90.00 degrees
Space group P4/mmm (No. 123)
One atom of each set of equivalent atoms:
Er 0.000 0.000 0.000 (multiplicity 1)
Er 0.000 0.000 0.258 (multiplicity 2)
Sc 0.000 0.000 0.500 (multiplicity 1)
Tl 0.500 0.500 0.129 (multiplicity 2)
Tl 0.500 0.500 0.385 (multiplicity 2)


(4)
Crystalline Er6Sc5Tl at its relaxed geometry. Source: the Alexandria database, functional PBE.

Results
* energy of formation: 19 kJ/mol of formula units
* total magnetic moment: 0.05 μB per atom
* density of states at the Fermi level: 17.461 states/eV/f.u.

Cell lengths 5.882, 10.188, 11.121 Å; angles 90.00, 100.20, 90.00 degrees
Space group C2/m (No. 12)
One atom of each set of equivalent atoms:
Er 0.249 0.000 0.248 (multiplicity 4)
Er 0.249 0.333 0.249 (multiplicity 8)
Sc 0.000 0.166 0.000 (multiplicity 4)
Sc 0.000 0.334 0.500 (multiplicity 4)
Sc 0.000 0.500 0.000 (multiplicity 2)
Tl 0.000 0.000 0.500 (multiplicity 2)


(5)
Crystalline Er2Sc3Tl4 at its relaxed geometry. Source: the Alexandria database, functional PBE.

Results
* relative energy among the computed polymorphs: 69 meV/atom
* energy of formation: -161 kJ/mol of formula units
* total magnetic moment: 0.00 μB per atom
* density of states at the Fermi level: 7.029 states/eV/f.u.

Cell lengths 6.774, 15.908, 8.757 Å; angles 90.00, 90.00, 90.00 degrees
Space group Cmce (No. 64)
One atom of each set of equivalent atoms:
Er 0.000 0.114 0.076 (multiplicity 8)
Sc 0.000 0.000 0.500 (multiplicity 4)
Sc 0.250 0.212 0.750 (multiplicity 8)
Tl 0.000 0.187 0.454 (multiplicity 8)
Tl 0.250 0.030 0.750 (multiplicity 8)


(6)
Crystalline Er3Sc2Tl2 at its relaxed geometry. Source: the Alexandria database, functional PBE.

Results
* relative energy among the computed polymorphs: 20 meV/atom
* energy of formation: -94 kJ/mol of formula units
* total magnetic moment: 0.15 μB per atom
* density of states at the Fermi level: 8.801 states/eV/f.u.

Cell lengths 3.563, 4.982, 21.424 Å; angles 90.00, 90.00, 90.00 degrees
Space group Immm (No. 71)
One atom of each set of equivalent atoms:
Er 0.000 0.000 0.000 (multiplicity 2)
Er 0.000 0.500 0.202 (multiplicity 4)
Sc 0.000 0.000 0.430 (multiplicity 4)
Tl 0.000 0.500 0.354 (multiplicity 4)


(7)
Crystalline ErSc2Tl at its relaxed geometry. Source: the Alexandria database, functional PBE.

Results
* relative energy among the computed polymorphs: 121 meV/atom
* energy of formation: -26 kJ/mol of formula units
* total magnetic moment: 0.00 μB per atom
* density of states at the Fermi level: 4.691 states/eV/f.u.

Cell lengths 3.3814, 3.3814, 31.5069 Å; angles 90.00, 90.00, 120.00 degrees
Space group R-3m (No. 166, hexagonal axes)
One atom of each set of equivalent atoms:
Er 0.0000 0.0000 0.0000 (multiplicity 3)
Sc 0.0000 0.0000 0.2465 (multiplicity 6)
Tl 0.0000 0.0000 0.5000 (multiplicity 3)


(8)
Crystalline Er4Sc4Tl at its relaxed geometry. Source: the Alexandria database, functional PBE.

Results
* energy of formation: -21 kJ/mol of formula units
* total magnetic moment: 0.00 μB per atom
* density of states at the Fermi level: 15.784 states/eV/f.u.

Cell lengths 10.137, 10.137, 4.701 Å; angles 90.00, 90.00, 90.00 degrees
Space group I4/mmm (No. 139)
One atom of each set of equivalent atoms:
Er 0.164 0.164 0.000 (multiplicity 8)
Sc 0.000 0.342 0.500 (multiplicity 8)
Tl 0.000 0.000 0.500 (multiplicity 2)


(9)
Crystalline ErScTl at its relaxed geometry. Source: the Alexandria database, functional PBE.

Results
* relative energy among the computed polymorphs: 21 meV/atom
* energy of formation: -70 kJ/mol of formula units
* total magnetic moment: 0.33 μB per atom
* density of states at the Fermi level: 3.083 states/eV/f.u.

Cell lengths 7.807, 4.504, 9.072 Å; angles 90.00, 90.00, 90.00 degrees
Space group Pnma (No. 62)
One atom of each set of equivalent atoms:
Er 0.031 0.250 0.173 (multiplicity 4)
Sc 0.138 0.250 0.563 (multiplicity 4)
Tl 0.243 0.750 0.372 (multiplicity 4)


(10)
Crystalline Er3ScTl4 at its relaxed geometry. Source: the Alexandria database, functional PBE.

Results
* relative energy among the computed polymorphs: 108 meV/atom
* energy of formation: -148 kJ/mol of formula units
* total magnetic moment: 0.00 μB per atom
* density of states at the Fermi level: 7.263 states/eV/f.u.

Cell lengths 9.850, 6.600, 6.532 Å; angles 90.00, 90.00, 90.00 degrees
Space group Pmn2_1 (No. 31)
One atom of each set of equivalent atoms:
Er 0.000 0.001 0.000 (multiplicity 2)
Er 0.250 0.259 0.251 (multiplicity 4)
Sc 0.000 0.501 0.002 (multiplicity 2)
Tl 0.000 0.000 0.500 (multiplicity 2)
Tl 0.000 0.500 0.502 (multiplicity 2)
Tl 0.250 0.249 0.751 (multiplicity 4)


(11)
Crystalline Er3ScTl at its relaxed geometry. Source: the Alexandria database, functional PBE.

Results
* relative energy among the computed polymorphs: 0 meV/atom
* energy of formation: -52 kJ/mol of formula units
* total magnetic moment: 0.02 μB per atom
* density of states at the Fermi level: 6.023 states/eV/f.u.

Cell lengths 4.707, 24.499, 4.716 Å; angles 90.00, 90.00, 90.00 degrees
Space group Cmcm (No. 63)
One atom of each set of equivalent atoms:
Er 0.000 0.051 0.250 (multiplicity 4)
Er 0.000 0.250 0.250 (multiplicity 4)
Er 0.000 0.446 0.250 (multiplicity 4)
Sc 0.000 0.151 0.750 (multiplicity 4)
Tl 0.000 0.348 0.750 (multiplicity 4)


(12)
Crystalline ErSc7Tl4 at its relaxed geometry. Source: the Alexandria database, functional PBE.

Results
* energy of formation: 49 kJ/mol of formula units
* total magnetic moment: 0.00 μB per atom
* density of states at the Fermi level: 13.463 states/eV/f.u.

Cell lengths 13.290, 5.368, 10.431 Å; angles 90.00, 124.38, 90.00 degrees
Space group C2/m (No. 12)
One atom of each set of equivalent atoms:
Er 0.000 0.000 0.000 (multiplicity 2)
Sc 0.000 0.500 0.000 (multiplicity 2)
Sc 0.056 0.000 0.375 (multiplicity 4)
Sc 0.179 0.500 0.604 (multiplicity 4)
Sc 0.216 0.000 0.880 (multiplicity 4)
Tl 0.076 0.500 0.780 (multiplicity 4)
Tl 0.196 0.500 0.327 (multiplicity 4)


What is the density of states at the Fermi level in the eighth record?
15.784 states/eV/f.u.